[1]
Density functional theory data (PBE-GGA) for a relaxed Sb4PdO7 crystal.

abc: 13.0099 3.9462 9.2570
angles: 90.00 130.88 90.00
Space group C2/m (No. 12)
Asymmetric unit:
Sb 0.0747 0.0000 0.3483 x4
Sb 0.1993 0.5000 0.8033 x4
Pd 0.0000 0.5000 0.0000 x2
O 0.0000 0.0000 0.0000 x2
O 0.0310 0.5000 0.8114 x4
O 0.1075 0.0000 0.7129 x4
O 0.1451 0.5000 0.5492 x4


[2]
Density functional theory data (PBE-GGA) for a relaxed SbPdO4 crystal.

abc: 4.6715 5.6626 5.2619
angles: 90.00 91.17 90.00
Space group P2/c (No. 13)
Asymmetric unit:
Sb 0.0000 0.1616 0.2500 x2
Pd 0.5000 0.3439 0.7500 x2
O 0.2274 0.1036 0.9290 x4
O 0.2658 0.3937 0.4147 x4


[3]
Density functional theory data (PBE-GGA) for a relaxed Pd2SeO crystal.

Values from the calculation:
The calculation puts the energy above the most stable polymorph in this dataset at 0.000 eV/atom.

abc: 6.1302 3.3515 12.0797
angles: 90.00 90.00 90.00
Space group Pnma (No. 62)
Asymmetric unit:
Pd 0.0546 0.2500 0.2446 x4
Pd 0.2395 0.2500 0.9759 x4
Se 0.1999 0.2500 0.6208 x4
O 0.2039 0.7500 0.8620 x4


[4]
Density functional theory data (PBE-GGA) for a relaxed PdSeO3 crystal.

abc: 6.0918 12.4506 6.9481
angles: 90.00 90.00 90.00
Space group Pbca (No. 61)
Asymmetric unit:
Pd 0.1767 0.0893 0.0302 x8
Se 0.1242 0.1550 0.5629 x8
O 0.0111 0.5915 0.1269 x8
O 0.1337 0.5719 0.5841 x8
O 0.2433 0.2402 0.9337 x8


[5]
Density functional theory data (PBE-GGA) for a relaxed Pd2SeO crystal.

Values from the calculation:
The calculation puts the energy above the most stable polymorph in this dataset at 0.005 eV/atom.

abc: 3.3105 12.1927 6.1354
angles: 90.00 90.00 90.00
Space group Cmc2_1 (No. 36)
Asymmetric unit:
Pd 0.0000 0.0012 0.0000 x4
Pd 0.0000 0.2733 0.7596 x4
Se 0.0000 0.3745 0.2523 x4
O 0.0000 0.1114 0.2522 x4


[6]
Density functional theory data (PBE-GGA) for a relaxed Pd2SeO6 crystal.

abc: 4.3910 8.3228 5.3470
angles: 90.00 97.95 90.00
Space group P2_1/c (No. 14)
Asymmetric unit:
Pd 0.0354 0.1550 0.4375 x4
Se 0.5000 0.0000 0.0000 x2
O 0.2377 0.1380 0.8083 x4
O 0.2435 0.6907 0.3850 x4
O 0.3379 0.0196 0.2873 x4


[7]
Density functional theory data (PBE-GGA) for a relaxed Pd3Se2O2 crystal.

abc: 9.8479 7.8793 7.5306
angles: 90.00 129.78 90.00
Space group C2/m (No. 12)
Asymmetric unit:
Pd 0.0000 0.2139 0.0000 x4
Pd 0.0818 0.5000 0.7481 x4
Pd 0.2500 0.2500 0.5000 x4
Se 0.0705 0.1892 0.7246 x8
O 0.1671 0.5000 0.3577 x4
O 0.1749 0.0000 0.1495 x4


[8]
Density functional theory data (PBE-GGA) for a relaxed SnPdSeO crystal.

Values from the calculation:
The calculation puts the energy above the most stable polymorph in this dataset at 0.478 eV/atom.

abc: 4.5875 4.5875 7.5634
angles: 90.00 90.00 90.00
Space group P4/nmm (No. 129, origin choice 2)
Asymmetric unit:
Sn 0.2500 0.7500 0.0000 x2
Pd 0.2500 0.2500 0.1933 x2
Se 0.2500 0.2500 0.7093 x2
O 0.2500 0.2500 0.4858 x2


[9]
Density functional theory data (PBE-GGA) for a relaxed SnPdSeO crystal.

Values from the calculation:
The calculation puts the energy above the most stable polymorph in this dataset at 0.000 eV/atom.

abc: 4.6184 8.4009 8.4714
angles: 90.00 90.00 90.00
Space group P2_12_12_1 (No. 19)
Asymmetric unit:
Sn 0.2131 0.1496 0.3922 x4
Pd 0.2359 0.8369 0.4435 x4
Se 0.2340 0.6305 0.6602 x4
O 0.2328 0.7105 0.0864 x4


[10]
Density functional theory data (PBE-GGA) for a relaxed SnPdSeO crystal.

Values from the calculation:
The calculation puts the energy above the most stable polymorph in this dataset at 0.239 eV/atom.

abc: 6.7707 7.8289 5.7459
angles: 90.00 90.00 90.00
Space group Pca2_1 (No. 29)
Asymmetric unit:
Sn 0.0317 0.2273 0.0000 x4
Pd 0.0931 0.3403 0.5796 x4
Se 0.1206 0.8703 0.9154 x4
O 0.1181 0.4368 0.2116 x4


[11]
Density functional theory data (PBE-GGA) for a relaxed SnPdSeO crystal.

Values from the calculation:
The calculation puts the energy above the most stable polymorph in this dataset at 0.300 eV/atom.

abc: 4.3735 4.3735 8.3493
angles: 90.00 90.00 90.00
Space group P4/nmm (No. 129, origin choice 2)
Asymmetric unit:
Sn 0.2500 0.2500 0.1511 x2
Pd 0.2500 0.2500 0.6500 x2
Se 0.2500 0.7500 0.5000 x2
O 0.2500 0.2500 0.9147 x2


[12]
Density functional theory data (PBE-GGA) for a relaxed SnPdSeO crystal.

Values from the calculation:
The calculation puts the energy above the most stable polymorph in this dataset at 0.292 eV/atom.

abc: 4.0536 4.0536 9.1365
angles: 90.00 90.00 90.00
Space group P4/nmm (No. 129, origin choice 2)
Asymmetric unit:
Sn 0.2500 0.2500 0.1407 x2
Pd 0.2500 0.2500 0.6765 x2
Se 0.2500 0.7500 0.5000 x2
O 0.2500 0.2500 0.9174 x2


Number 1: E_tot -135.52 eV for the cell shown. Number 2: E_tot -68.66 eV for the cell shown. Number 3: E_tot -78.92 eV for the cell shown. Number 4: E_tot -208.76 eV for the cell shown. Number 5: E_tot -78.84 eV for the cell shown. Number 6: E_tot -89.84 eV for the cell shown. Number 7: E_tot -130.30 eV for the cell shown. Number 8: E_tot -36.51 eV for the cell shown. Number 9: E_tot -80.66 eV for the cell shown. Number 10: E_tot -76.83 eV for the cell shown. Number 11: E_tot -37.93 eV for the cell shown. Number 12: E_tot -37.99 eV for the cell shown.